## PuCu3Br8 (PBE)

Data for an optimized crystal structure of PuCu3Br8.

Properties
- ΔE_f (raw): -0.680 eV per atom
- Final energy: -96.32 eV per cell

Unit cell a=14.720 b=7.401 c=7.978 alpha=90.00 beta=121.50 gamma=90.00
Space group C2/m (No. 12)
Asymmetric unit:
Pu: 0.000 0.000 0.000 (multiplicity 2)
Cu: 0.000 0.500 0.000 (multiplicity 2)
Cu: 0.250 0.250 0.000 (multiplicity 4)
Br: 0.005 0.269 0.247 (multiplicity 8)
Br: 0.227 0.000 0.213 (multiplicity 4)
Br: 0.243 0.500 0.189 (multiplicity 4)

## PuCuBr (PBE)

Data for an optimized crystal structure of PuCuBr.

Properties
- ΔE_f (raw): -0.526 eV per atom
- Final energy: -86.72 eV per cell

Unit cell a=3.523 b=19.622 c=4.279 alpha=90.00 beta=90.00 gamma=90.00
Space group Cmcm (No. 63)
Asymmetric unit:
Pu: 0.000 0.096 0.250 (multiplicity 4)
Cu: 0.000 0.475 0.250 (multiplicity 4)
Br: 0.000 0.326 0.250 (multiplicity 4)

## PuCuBr2 (PBE)

Data for an optimized crystal structure of PuCuBr2.

Properties
- ΔE_f (raw): -0.295 eV per atom
- Final energy: -68.86 eV per cell

Unit cell a=3.7757 b=3.7757 c=26.3842 alpha=90.00 beta=90.00 gamma=120.00
Space group R-3m (No. 166, hexagonal axes)
Asymmetric unit:
Pu: 0.0000 0.0000 0.0000 (multiplicity 3)
Cu: 0.0000 0.0000 0.5000 (multiplicity 3)
Br: 0.0000 0.0000 0.1096 (multiplicity 6)

## Pu2CuBr8 (PBE)

Data for an optimized crystal structure of Pu2CuBr8.

Properties
- ΔE_f (raw): -1.112 eV per atom
- Final energy: -116.75 eV per cell

Unit cell a=13.515 b=6.862 c=9.561 alpha=90.00 beta=104.75 gamma=90.00
Space group C2/m (No. 12)
Asymmetric unit:
Pu: 0.122 0.000 0.385 (multiplicity 4)
Cu: 0.000 0.000 0.000 (multiplicity 2)
Br: 0.097 0.000 0.678 (multiplicity 4)
Br: 0.109 0.250 0.149 (multiplicity 8)
Br: 0.164 0.500 0.509 (multiplicity 4)

## PuCu2Br6 (PBE)

Data for an optimized crystal structure of PuCu2Br6.

Properties
- ΔE_f (raw): -0.834 eV per atom
- Final energy: -160.28 eV per cell

Unit cell a=14.710 b=12.106 c=7.068 alpha=90.00 beta=96.94 gamma=90.00
Space group C2/c (No. 15)
Asymmetric unit:
Pu: 0.000 0.100 0.250 (multiplicity 4)
Cu: 0.123 0.430 0.289 (multiplicity 8)
Br: 0.109 0.071 0.607 (multiplicity 8)
Br: 0.121 0.256 0.129 (multiplicity 8)
Br: 0.130 0.406 0.621 (multiplicity 8)

## Rb3PuCu2Br8 (PBE)

Data for an optimized crystal structure of Rb3PuCu2Br8.

Properties
- ΔE_f (raw): -1.220 eV per atom
- Final energy: -55.89 eV per cell

Unit cell a=7.8205 b=7.8205 c=9.8038 alpha=90.00 beta=90.00 gamma=120.00
Space group P-3m1 (No. 164)
Asymmetric unit:
Rb: 0.0000 0.0000 0.0000 (multiplicity 1)
Rb: 0.3333 0.6667 0.6321 (multiplicity 2)
Pu: 0.0000 0.0000 0.5000 (multiplicity 1)
Cu: 0.3333 0.6667 0.2006 (multiplicity 2)
Br: 0.1696 0.3392 0.3241 (multiplicity 6)
Br: 0.3333 0.6667 0.9649 (multiplicity 2)

## RbPu2CuBr8 (PBE)

Data for an optimized crystal structure of RbPu2CuBr8.

Properties
- ΔE_f (raw): -1.318 eV per atom
- Final energy: -62.93 eV per cell

Unit cell a=7.516 b=8.650 c=8.694 alpha=78.79 beta=85.74 gamma=65.83
Space group P-1 (No. 2)
Asymmetric unit:
Rb: 0.000 0.000 0.000 (multiplicity 1)
Pu: 0.028 0.470 0.258 (multiplicity 2)
Cu: 0.000 0.000 0.500 (multiplicity 1)
Br: 0.171 0.773 0.686 (multiplicity 2)
Br: 0.222 0.282 0.556 (multiplicity 2)
Br: 0.225 0.289 0.000 (multiplicity 2)
Br: 0.284 0.629 0.218 (multiplicity 2)

## Rb2PuCuBr6 (PBE)

Data for an optimized crystal structure of Rb2PuCuBr6.

Properties
- ΔE_f (raw): -1.346 eV per atom
- Final energy: -43.86 eV per cell

Unit cell a=7.7875 b=7.7875 c=6.6728 alpha=90.00 beta=90.00 gamma=120.00
Space group P-3m1 (No. 164)
Asymmetric unit:
Rb: 0.3333 0.6667 0.2814 (multiplicity 2)
Pu: 0.0000 0.0000 0.0000 (multiplicity 1)
Cu: 0.0000 0.0000 0.5000 (multiplicity 1)
Br: 0.1664 0.3329 0.7343 (multiplicity 6)